1.
{
  "formula": "Li2LaCo",
  "functional": "PBE",
  "state": "relaxed",
  "de_polymorph_mev_per_atom": 235,
  "total_energy_ev_per_atom": -3.599,
  "crystal_system": "orthorhombic",
  "formation_energy_ev_per_atom": 0.37,
  "magnetic_moment_mub_per_atom": 0.126,
  "lattice_angstrom": [[5.363, -0.044, 0.000], [-2.857, 4.538, 0.000], [0.000, 0.000, 3.068]],
  "species": ["Co", "La", "Li", "Li"],
  "fractional_positions": [[0.500, 0.000, 0.500], [0.000, 0.500, 0.500], [0.000, 0.000, 0.000], [0.500, 0.500, 0.000]]
}


2.
{
  "formula": "Tm4InPd5",
  "functional": "PBE",
  "state": "relaxed",
  "total_energy_ev_per_atom": -5.522,
  "crystal_system": "tetragonal",
  "formation_energy_ev_per_atom": -0.86,
  "magnetic_moment_mub_per_atom": 0.000,
  "lattice_angstrom": [[-1.958, -1.062, -2.611], [0.008, -3.181, 1.288], [-14.095, 3.645, 9.083]],
  "species": ["Tm", "Tm", "Tm", "Tm", "In", "Pd", "Pd", "Pd", "Pd", "Pd"],
  "fractional_positions": [[0.000, 0.000, 0.192], [0.000, 0.000, 0.398], [0.000, 0.000, 0.602], [0.000, 0.000, 0.808], [0.000, 0.000, 0.000], [0.500, 0.500, 0.093], [0.500, 0.500, 0.295], [0.500, 0.500, 0.500], [0.500, 0.500, 0.705], [0.500, 0.500, 0.907]]
}


3.
{
  "formula": "Th2HO",
  "functional": "PBE",
  "state": "relaxed",
  "total_energy_ev_per_atom": -7.203,
  "crystal_system": "trigonal",
  "magnetic_moment_mub_per_atom": 0.000,
  "lattice_angstrom": [[-2.852, 2.216, -0.400], [-2.939, -1.131, -1.814], [-4.286, -1.743, 4.392]],
  "species": ["H", "O", "Th", "Th"],
  "fractional_positions": [[0.000, 0.000, 0.000], [0.500, 0.500, 0.500], [0.248, 0.248, 0.255], [0.752, 0.752, 0.745]]
}


4.
{
  "formula": "LiCePuPd",
  "functional": "PBE",
  "state": "relaxed",
  "total_energy_ev_per_atom": -7.073,
  "crystal_system": "cubic",
  "formation_energy_ev_per_atom": -0.23,
  "magnetic_moment_mub_per_atom": 1.419,
  "lattice_angstrom": [[4.824, 0.000, 0.000], [2.412, 4.178, 0.000], [2.412, 1.393, 3.939]],
  "species": ["Li", "Pd", "Ce", "Pu"],
  "fractional_positions": [[0.750, 0.750, 0.750], [0.500, 0.500, 0.500], [0.250, 0.250, 0.250], [0.000, 0.000, 0.000]]
}


5.
{
  "formula": "CsHgBr3",
  "functional": "PBE",
  "state": "relaxed",
  "total_energy_ev_per_atom": -2.212,
  "crystal_system": "cubic",
  "formation_energy_uncorrected_ev_per_atom": -0.977,
  "magnetic_moment_mub_per_atom": 0.000,
  "lattice_angstrom": [[5.676, 0.000, 0.000], [0.000, 5.676, 0.000], [0.000, 0.000, 5.676]],
  "species": ["Br", "Br", "Br", "Cs", "Hg"],
  "fractional_positions": [[0.000, 0.500, 0.500], [0.500, 0.000, 0.500], [0.500, 0.500, 0.000], [0.000, 0.000, 0.000], [0.500, 0.500, 0.500]]
}


6.
{
  "formula": "LaEuZr",
  "functional": "PBE",
  "state": "relaxed",
  "total_energy_ev_per_atom": -7.721,
  "crystal_system": "tetragonal",
  "formation_energy_ev_per_atom": 0.20,
  "magnetic_moment_mub_per_atom": 2.478,
  "lattice_angstrom": [[-3.304, -0.443, -0.999], [0.362, -3.445, 0.329], [-0.872, 2.417, 7.876]],
  "species": ["Eu", "Zr", "La"],
  "fractional_positions": [[0.012, 0.012, 0.024], [0.671, 0.671, 0.342], [0.317, 0.317, 0.634]]
}


7.
{
  "formula": "LiYTm2Se4",
  "functional": "PBE",
  "state": "relaxed",
  "total_energy_ev_per_atom": -5.625,
  "crystal_system": "monoclinic",
  "formation_energy_uncorrected_ev_per_atom": -1.717,
  "magnetic_moment_mub_per_atom": 0.000,
  "lattice_angstrom": [[-1.380, -2.730, 2.588], [4.580, 2.211, 4.775], [-5.921, 3.614, 0.654]],
  "species": ["Li", "Y", "Tm", "Tm", "Se", "Se", "Se", "Se"],
  "fractional_positions": [[0.500, 0.500, 0.000], [0.000, 0.000, 0.000], [0.500, 0.000, 0.500], [0.000, 0.500, 0.500], [0.500, 0.258, 0.250], [0.500, 0.742, 0.750], [0.000, 0.256, 0.752], [0.000, 0.744, 0.248]]
}


8.
{
  "formula": "NaCu2H3",
  "functional": "PBE",
  "state": "relaxed",
  "total_energy_ev_per_atom": -3.266,
  "crystal_system": "orthorhombic",
  "magnetic_moment_mub_per_atom": 0.000,
  "lattice_angstrom": [[4.720, 0.000, 0.000], [0.000, 5.577, 0.321], [0.000, -1.105, 5.475]],
  "species": ["Na", "Na", "Cu", "Cu", "Cu", "Cu", "H", "H", "H", "H", "H", "H"],
  "fractional_positions": [[0.250, 0.319, 0.681], [0.750, 0.681, 0.319], [0.000, 0.170, 0.170], [0.500, 0.170, 0.170], [0.000, 0.830, 0.830], [0.500, 0.830, 0.830], [0.750, 0.086, 0.914], [0.750, 0.198, 0.383], [0.250, 0.383, 0.198], [0.750, 0.617, 0.802], [0.250, 0.802, 0.617], [0.250, 0.914, 0.086]]
}


9.
{
  "formula": "Ce6Hg2N",
  "functional": "PBE",
  "state": "relaxed",
  "de_polymorph_mev_per_atom": 91,
  "total_energy_ev_per_atom": -5.289,
  "crystal_system": "orthorhombic",
  "formation_energy_uncorrected_ev_per_atom": -0.341,
  "magnetic_moment_mub_per_atom": 0.261,
  "lattice_angstrom": [[-1.694, 2.425, -1.642], [-4.853, -5.960, -3.796], [-2.501, 3.379, 7.571]],
  "species": ["Ce", "Ce", "Ce", "Ce", "Ce", "Ce", "Hg", "Hg", "N"],
  "fractional_positions": [[0.500, 0.552, 0.000], [0.500, 0.353, 0.347], [0.500, 0.007, 0.653], [0.000, 0.266, 0.000], [0.000, 0.787, 0.814], [0.000, 0.973, 0.186], [0.000, 0.317, 0.634], [0.000, 0.683, 0.366], [0.500, 0.061, 0.000]]
}


10.
{
  "formula": "InH2S",
  "functional": "PBE",
  "state": "relaxed",
  "de_polymorph_mev_per_atom": 614,
  "total_energy_ev_per_atom": -2.891,
  "crystal_system": "trigonal",
  "magnetic_moment_mub_per_atom": 0.000,
  "lattice_angstrom": [[-1.610, -0.711, 2.666], [1.451, -1.574, 2.370], [1.716, 4.653, 4.191]],
  "species": ["H", "H", "S", "In"],
  "fractional_positions": [[0.144, 0.144, 0.567], [0.856, 0.856, 0.433], [0.500, 0.500, 0.500], [0.000, 0.000, 0.000]]
}


11.
{
  "formula": "CsTeBr6",
  "functional": "PBE",
  "state": "relaxed",
  "total_energy_ev_per_atom": -2.378,
  "crystal_system": "trigonal",
  "formation_energy_uncorrected_ev_per_atom": -0.624,
  "magnetic_moment_mub_per_atom": 0.000,
  "lattice_angstrom": [[7.517, 0.000, 0.000], [3.758, 6.510, 0.000], [3.758, 2.170, 6.868]],
  "species": ["Cs", "Te", "Br", "Br", "Br", "Br", "Br", "Br"],
  "fractional_positions": [[0.500, 0.500, 0.500], [0.000, 0.000, 0.000], [0.907, 0.907, 0.778], [0.408, 0.907, 0.778], [0.093, 0.592, 0.222], [0.592, 0.093, 0.222], [0.093, 0.093, 0.222], [0.907, 0.408, 0.778]]
}


12.
{
  "formula": "HgP2Pd8",
  "functional": "PBE",
  "state": "relaxed",
  "total_energy_ev_per_atom": -5.169,
  "crystal_system": "monoclinic",
  "formation_energy_ev_per_atom": -0.38,
  "magnetic_moment_mub_per_atom": 0.000,
  "lattice_angstrom": [[4.478, -0.060, -0.090], [-0.825, 6.506, -0.012], [-0.825, -2.517, 6.000]],
  "species": ["Hg", "P", "P", "Pd", "Pd", "Pd", "Pd", "Pd", "Pd", "Pd", "Pd"],
  "fractional_positions": [[0.500, 0.000, 0.000], [0.000, 0.321, 0.679], [0.000, 0.679, 0.321], [0.910, 0.934, 0.671], [0.910, 0.671, 0.934], [0.301, 0.610, 0.610], [0.500, 0.747, 0.253], [0.500, 0.253, 0.747], [0.699, 0.390, 0.390], [0.090, 0.329, 0.066], [0.090, 0.066, 0.329]]
}


Copy entry 2 word for word.
{
  "formula": "Tm4InPd5",
  "functional": "PBE",
  "state": "relaxed",
  "total_energy_ev_per_atom": -5.522,
  "crystal_system": "tetragonal",
  "formation_energy_ev_per_atom": -0.86,
  "magnetic_moment_mub_per_atom": 0.000,
  "lattice_angstrom": [[-1.958, -1.062, -2.611], [0.008, -3.181, 1.288], [-14.095, 3.645, 9.083]],
  "species": ["Tm", "Tm", "Tm", "Tm", "In", "Pd", "Pd", "Pd", "Pd", "Pd"],
  "fractional_positions": [[0.000, 0.000, 0.192], [0.000, 0.000, 0.398], [0.000, 0.000, 0.602], [0.000, 0.000, 0.808], [0.000, 0.000, 0.000], [0.500, 0.500, 0.093], [0.500, 0.500, 0.295], [0.500, 0.500, 0.500], [0.500, 0.500, 0.705], [0.500, 0.500, 0.907]]
}


Number 11 is which compound?
CsTeBr6